(1)
## Zn2W3 (GGA-PBE)

Data for an optimized crystal structure of Zn2W3.

Cell: 11.719 11.719 11.719 Å, 13.68 13.68 13.68°
Sites, in units of the cell vectors:
Zn: 0.398 0.398 0.398
Zn: 0.602 0.602 0.602
W: 0.798 0.798 0.798
W: 0.000 0.000 0.000
W: 0.202 0.202 0.202

Summary:
As for the density: 14.5 Mg/m³. The space group is R-3m. The value obtained for the total magnetic moment is 0.000 μB per formula unit. The calculation puts the formation energy at 0.368 eV/atom. The density of states at the Fermi level is 5.09 states/eV per cell. The distance to the lowest polymorph of the same formula is 0.00 kcal/mol of atoms. For the total energy, the calculation gives -7.913 eV per atom.



(2)
## ZnW2 (GGA-PBE)

Data for an optimized crystal structure of ZnW2.

Cell: 4.461 4.461 5.339 Å, 90.00 90.00 120.00°
Sites, in units of the cell vectors:
Zn: 0.333 0.667 0.750
Zn: 0.667 0.333 0.250
W: 0.000 0.000 0.500
W: 0.667 0.333 0.750
W: 0.333 0.667 0.250
W: 0.000 0.000 0.000

Summary:
As for the density: 15.6 Mg/m³. The space group is P6_3/mmc. The value obtained for the total magnetic moment is 0.000 μB per formula unit. The calculation puts the formation energy at 0.429 eV/atom. The density of states at the Fermi level is 4.45 states/eV per cell. The distance to the lowest polymorph of the same formula is 5.58 kcal/mol of atoms. For the total energy, the calculation gives -8.631 eV per atom.



(3)
## ZnW2 (GGA-PBE)

Data for an optimized crystal structure of ZnW2.

Cell: 7.783 7.783 2.673 Å, 90.00 90.00 120.00°
Sites, in units of the cell vectors:
W: 0.687 0.687 0.000
W: 0.353 0.353 0.500
W: 0.647 0.000 0.500
W: 0.000 0.647 0.500
W: 0.000 0.313 0.000
W: 0.313 0.000 0.000
Zn: 0.667 0.333 0.000
Zn: 0.333 0.667 0.000
Zn: 0.000 0.000 0.500

Summary:
As for the density: 15.4 Mg/m³. The space group is P-62m. The value obtained for the total magnetic moment is 0.000 μB per formula unit. The calculation puts the formation energy at 0.275 eV/atom. The density of states at the Fermi level is 5.00 states/eV per cell. The distance to the lowest polymorph of the same formula is 2.02 kcal/mol of atoms. For the total energy, the calculation gives -8.785 eV per atom.